No. 1
This record from the Alexandria database describes crystalline ScSbP2 at its relaxed geometry. The functional is PBEsol.

Cell: 3.4406 4.6011 4.6011 Å, 90.00 90.00 90.00°
Fractional positions:
Sc 0.5000 0.0000 0.0000
Sb 0.5000 0.5000 0.5000
P 0.0000 0.5000 0.0000
P 0.0000 0.0000 0.5000

Results
Formation energy (no corrections) = -334 meV/atom
Calculated total energy = -24.1 eV per formula unit
SG = No. 123
Theoretical density = 5.213 g/cm3
Magnetization = 0.0 μB/f.u.

No. 2
This record from the Alexandria database describes crystalline Sc6Sb2P at its relaxed geometry. The functional is PBEsol.

Cell: 3.8546 7.4974 7.4974 Å, 120.00 90.00 90.00°
Fractional positions:
Sc 0.5000 0.0000 0.3928
Sc 0.0000 0.7594 0.0000
Sc 0.0000 0.0000 0.7594
Sc 0.5000 0.6072 0.6072
Sc 0.5000 0.3928 0.0000
Sc 0.0000 0.2406 0.2406
Sb 0.0000 0.3333 0.6667
Sb 0.0000 0.6667 0.3333
P 0.5000 0.0000 0.0000

Results
Formation energy (no corrections) = -930 meV/atom
Calculated total energy = -62.9 eV per formula unit
SG = No. 189
Theoretical density = 4.816 g/cm3
Magnetization = 0.0 μB/f.u.

No. 3
This record from the Alexandria database describes crystalline ScSbP2 at its relaxed geometry. The functional is PBEsol.

Cell: 3.8144 3.8822 5.4999 Å, 90.89 90.00 90.00°
Fractional positions:
Sb 0.0000 0.9500 0.4012
P 0.5000 0.4931 0.3642
P 0.0000 0.0272 0.8737
Sc 0.5000 0.5297 0.8610

Results
Formation energy (no corrections) = -613 meV/atom
Calculated total energy = -25.2 eV per formula unit
SG = No. 6
Theoretical density = 4.663 g/cm3
Magnetization = 0.0 μB/f.u.

No. 4
This record from the Alexandria database describes crystalline ScSbPSe2 at its relaxed geometry. The functional is PBEsol.

Cell: 4.9432 5.1486 5.1486 Å, 90.00 90.00 90.00°
Fractional positions:
Sc 0.5000 0.5000 0.5000
Sb 0.0000 0.0000 0.0000
Se 0.0000 0.0000 0.5000
Se 0.0000 0.5000 0.0000
P 0.5000 0.0000 0.0000

Results
Formation energy (no corrections) = 283 meV/atom
Calculated total energy = -23.2 eV per formula unit
SG = No. 123
Theoretical density = 4.506 g/cm3
Magnetization = 0.0 μB/f.u.

No. 5
This record from the Alexandria database describes crystalline Sb3PSe at its relaxed geometry. The functional is PBEsol.

Cell: 5.2585 5.2585 5.2585 Å, 90.00 90.00 90.00°
Fractional positions:
Sb 0.0000 0.0000 0.5000
Sb 0.0000 0.5000 0.0000
Sb 0.5000 0.0000 0.0000
Se 0.0000 0.0000 0.0000
P 0.5000 0.5000 0.5000

Results
Formation energy (no corrections) = 1049 meV/atom
Calculated total energy = -18.1 eV per formula unit
SG = No. 221
Theoretical density = 5.427 g/cm3
Magnetization = 0.0 μB/f.u.

No. 6
This record from the Alexandria database describes crystalline SbPSe2 at its relaxed geometry. The functional is PBEsol.

Cell: 4.8220 4.8220 4.8220 Å, 60.00 60.00 60.00°
Fractional positions:
Sb 0.5000 0.5000 0.5000
Se 0.2500 0.2500 0.2500
Se 0.7500 0.7500 0.7500
P 0.0000 0.0000 0.0000

Results
Formation energy (no corrections) = 347 meV/atom
Relative energy among the computed polymorphs = 0.0 kJ/mol of atoms
Calculated total energy = -16.7 eV per formula unit
SG = No. 225
Theoretical density = 6.507 g/cm3
Magnetization = 0.0 μB/f.u.

No. 7
This record from the Alexandria database describes crystalline SbPSe2 at its relaxed geometry. The functional is PBEsol.

Cell: 3.7919 3.7919 6.8599 Å, 106.04 106.04 90.00°
Fractional positions:
Se 0.0000 0.0000 0.0000
Se 0.7500 0.2500 0.5000
Sb 0.2500 0.7500 0.5000
P 0.5000 0.5000 0.0000

Results
Formation energy (no corrections) = 389 meV/atom
Relative energy among the computed polymorphs = 4.0 kJ/mol of atoms
Calculated total energy = -16.5 eV per formula unit
SG = No. 119
Theoretical density = 5.682 g/cm3
Magnetization = 0.0 μB/f.u.

No. 8
This record from the Alexandria database describes crystalline SbP2Se at its relaxed geometry. The functional is PBEsol.

Cell: 3.6506 5.0218 5.1533 Å, 119.16 110.74 90.00°
Fractional positions:
P 0.7209 0.7209 0.4418
P 0.2791 0.2791 0.5582
Se 0.0000 0.5000 0.0000
Sb 0.5000 0.0000 0.0000

Results
Formation energy (no corrections) = 495 meV/atom
Relative energy among the computed polymorphs = 37.6 kJ/mol of atoms
Calculated total energy = -18.0 eV per formula unit
SG = No. 71
Theoretical density = 5.784 g/cm3
Magnetization = 0.0 μB/f.u.

- Number 8 is which compound?
  SbP2Se

- What is the magnetization in the second record?
  0.0 μB/f.u.

- Which formula does entry 1 have?
  ScSbP2